Sm2Dy2Sb2C | GGA-PBE | optimized geometry

Geometry as POSCAR:
```
Sm2Dy2Sb2C
1.0
4.7888 0.0000 0.0000
0.0000 4.7888 0.0000
-2.3944 -2.3944 8.0714
Sm Dy Sb C
2 2 2 1
Cartesian
0.0000 0.0000 2.5989
2.3944 2.3944 5.4725
0.0000 2.3944 0.0000
2.3944 0.0000 0.0000
0.0000 0.0000 5.8301
2.3944 2.3944 2.2413
0.0000 0.0000 0.0000
```

Values from the calculation:
Fermi-level density of states = 6.77 states/eV/cell
formation energy (no corrections) = -0.8143 eV per atom
symmetry = No. 139
M_tot = 0.0 μB per formula unit